1.
The following is a PBE-GGA calculation of NaOsO3 after structural relaxation, from Alexandria via LeMat-Bulk.

The value obtained for the total magnetization is 0.2000 μB/atom. For the formation energy from raw total energies, the calculation gives -1044 meV/atom. As for the mass density: 6.2 g/cm³.

Lattice parameters (Å, degrees): 16.3414 7.1543 7.1543 156.19 152.76 27.24
With the nearest neighbours (Å) after each atom.
Fractional coordinates of all 10 atoms:
Na 0.8522 0.0013 0.9987  5 O 2.35-2.43
Na 0.1478 0.9987 0.0013  5 O 2.35-2.43
Os 0.6793 0.9289 0.0711  5 O 1.81-1.99
Os 0.3207 0.0711 0.9289  5 O 1.81-1.99
O 0.7741 0.2481 0.7519  2 Os 1.96
O 0.2259 0.7519 0.2481  2 Os 1.96
O 0.1176 0.2039 0.7961  1 Os 1.81
O 0.8824 0.7961 0.2039  1 Os 1.81
O 0.4901 0.6519 0.3481  2 Os 1.99
O 0.5099 0.3481 0.6519  2 Os 1.99

---

2.
The following is a PBE-GGA calculation of Na2OsO after structural relaxation, from Alexandria via LeMat-Bulk.

The value obtained for the total magnetization is 0.0000 μB/atom. For the formation energy from raw total energies, the calculation gives -103 meV/atom. As for the mass density: 4.6 g/cm³.

Lattice parameters (Å, degrees): 9.8866 9.8866 7.2395 46.94 46.94 90.00
With the nearest neighbours (Å) after each atom.
Fractional coordinates of all 8 atoms:
Na 0.4447 0.1250 0.2500  2 O 2.61
Na 0.3053 0.6250 0.2500  2 O 2.61
Na 0.3750 0.5553 0.7500  2 O 2.61
Na 0.8750 0.6947 0.7500  2 O 2.61
Os 0.0000 0.0000 0.0000  2 O 1.88
Os 0.7500 0.2500 0.5000  2 O 1.88
O 0.5000 0.5000 0.0000  2 Os 1.88
O 0.2500 0.7500 0.5000  2 Os 1.88

---

3.
The following is a PBE-GGA calculation of NaOsO3 after structural relaxation, from Alexandria via LeMat-Bulk.

The value obtained for the total magnetization is 0.1784 μB/atom. For the formation energy from raw total energies, the calculation gives -1220 meV/atom. As for the mass density: 7.8 g/cm³.

Lattice parameters (Å, degrees): 5.4345 7.6484 5.3761 89.98 90.01 90.00
With the nearest neighbours (Å) after each atom.
Fractional coordinates of all 20 atoms:
Na 0.0349 0.2500 0.9915  4 O 2.31-2.51
Na 0.9651 0.7500 0.0085  4 O 2.31-2.51
Na 0.5350 0.2500 0.5085  4 O 2.31-2.51
Na 0.4650 0.7500 0.4915  4 O 2.31-2.51
Os 0.0000 0.0000 0.5000  6 O 1.96
Os 0.0000 0.5000 0.5000  6 O 1.96
Os 0.5000 0.5000 0.0000  6 O 1.96
Os 0.5000 0.0000 0.0000  6 O 1.96
O 0.4874 0.2500 0.0811  2 Os 1.96
O 0.5126 0.7500 0.9189  2 Os 1.96
O 0.9874 0.2500 0.4189  2 Os 1.96
O 0.0126 0.7500 0.5811  2 Os 1.96
O 0.2906 0.0407 0.7082  2 Os 1.96
O 0.7094 0.5407 0.2918  2 Os 1.96
O 0.7094 0.9593 0.2918  2 Os 1.96
O 0.2906 0.4593 0.7082  2 Os 1.96
O 0.7906 0.4593 0.7918  2 Os 1.96
O 0.2094 0.9593 0.2082  2 Os 1.96
O 0.2094 0.5407 0.2082  2 Os 1.96
O 0.7906 0.0407 0.7918  2 Os 1.96

---

4.
The following is a PBE-GGA calculation of NaOsO3 after structural relaxation, from Alexandria via LeMat-Bulk.

The value obtained for the total magnetization is 0.0000 μB/atom. For the formation energy from raw total energies, the calculation gives -347 meV/atom. As for the mass density: 7.2 g/cm³.

Lattice parameters (Å, degrees): 6.9215 6.9215 4.7067 90.00 90.00 147.89
With the nearest neighbours (Å) after each atom.
Fractional coordinates of all 10 atoms:
Na 0.1672 0.8328 0.2500  8 O 2.46-2.52
Na 0.8328 0.1672 0.7500  8 O 2.46-2.52
Os 0.4499 0.5501 0.2500  2 O 1.90
Os 0.5501 0.4499 0.7500  2 O 1.90
O 0.0482 0.3817 0.2500  1 O 1.65
O 0.6183 0.9518 0.2500  1 O 1.65
O 0.3817 0.0482 0.7500  1 O 1.65
O 0.9518 0.6183 0.7500  1 O 1.65
O 0.0000 0.0000 0.0000  4 Os 2.34, 2 O 2.35, 2 Na 2.52
O 0.0000 0.0000 0.5000  4 Os 2.34, 2 O 2.35, 2 Na 2.52

---

Number 1: raw total energy -6.529 eV/atom. Number 2: raw total energy -4.810 eV/atom. Number 3: raw total energy -6.705 eV/atom. Number 4: raw total energy -5.831 eV/atom.